Compound: La3Ag2Hg3
Source: Alexandria
Functional: PBE
Structure: relaxed

Cell lengths 6.059, 6.059, 16.183 Å; angles 90.00, 90.00, 132.52 degrees
Positions (direct):
La  0.086  0.914  0.601
La  0.086  0.914  0.899
La  0.340  0.660  0.750
La  0.660  0.340  0.250
La  0.914  0.086  0.101
La  0.914  0.086  0.399
Ag  0.211  0.789  0.107
Ag  0.211  0.789  0.393
Ag  0.789  0.211  0.607
Ag  0.789  0.211  0.893
Hg  0.373  0.627  0.250
Hg  0.386  0.614  0.547
Hg  0.386  0.614  0.953
Hg  0.614  0.386  0.047
Hg  0.614  0.386  0.453
Hg  0.627  0.373  0.750

Results
Energy relative to the elements = -0.396 eV/atom
Total magnetization = 0.0000 μB per atom
Density of states at the Fermi level = 0.85 states/eV/atom
Raw total energy = -49.1 eV per cell
Crystal system = orthorhombic

Compound: Pm2PrNd4
Source: Alexandria
Functional: PBE
Structure: relaxed

Cell lengths 6.215, 6.773, 12.016 Å; angles 90.00, 104.85, 90.00 degrees
Positions (direct):
Pm  0.095  0.250  0.000
Pm  0.353  0.750  0.560
Pm  0.647  0.250  0.440
Pm  0.905  0.750  0.000
Pr  0.497  0.750  0.150
Pr  0.503  0.250  0.850
Nd  0.143  0.001  0.286
Nd  0.143  0.499  0.286
Nd  0.208  0.250  0.561
Nd  0.348  0.750  0.848
Nd  0.652  0.250  0.152
Nd  0.792  0.750  0.439
Nd  0.857  0.501  0.714
Nd  0.857  0.999  0.714

Results
Energy relative to the elements = 0.107 eV/atom
Total magnetization = 0.0000 μB per atom
Density of states at the Fermi level = 1.55 states/eV/atom
Raw total energy = -65.2 eV per cell
Crystal system = monoclinic

Compound: ReTe2Os
Source: Alexandria
Functional: PBE
Structure: relaxed

Cell lengths 3.029, 4.661, 5.415 Å; angles 90.00, 91.07, 90.00 degrees
Positions (direct):
Re  0.000  0.000  0.000
Te  0.245  0.500  0.747
Te  0.755  0.500  0.253
Os  0.500  0.000  0.500

Results
Total magnetization = 0.0000 μB per atom
Density of states at the Fermi level = 1.21 states/eV/atom
Uncorrected formation energy = 1.31 eV per atom
Raw total energy = -24.7 eV per cell
Crystal system = monoclinic

Question: Which formula does entry 2 have?
Answer: Pm2PrNd4

Question: Which of these has the highest density of states at the Fermi level?
Answer: Pm2PrNd4

Question: Among the records above, which one has the highest density of states at the Fermi level?
Answer: Pm2PrNd4